Entry 1:
Below is a relaxed structure of Mn3Ag, with properties calculated at the GGA-PBE level.

Structure (extended XYZ):
```
4
Lattice="-1.8234 -2.0723 -0.3442 1.6205 -0.7270 -4.2078 3.2618 -3.1697 1.8039" Properties=species:S:1:pos:R:3 pbc="T T T"
Ag 0.0337 -0.0327 0.0186
Mn 1.9234 -1.4452 -1.4883
Mn 0.7362 -2.6375 0.7392
Mn 2.5402 -3.9667 -0.8151
```

Computed properties:
**Symmetry**: No. 25

=====

Entry 2:
Below is a relaxed structure of NaNdSm, with properties calculated at the GGA-PBE level.

Structure (extended XYZ):
```
6
Lattice="-2.4151 -2.6587 0.0417 1.5958 -1.4943 -2.8502 9.8103 -8.7533 10.0820" Properties=species:S:1:pos:R:3 pbc="T T T"
Nd 6.5158 -5.8490 4.4512
Nd 2.8848 -4.9808 4.2266
Sm 6.0279 -7.7853 7.4568
Sm 3.3727 -3.0445 1.2210
Na 9.7304 -8.7172 7.7547
Na -0.3297 -2.1126 0.9230
```

Computed properties:
**Offset from the most stable computed form**: 0 meV per atom
**Symmetry**: No. 129

=====

Entry 3:
Below is a relaxed structure of MnCdP2, with properties calculated at the GGA-PBE level.

Structure (extended XYZ):
```
4
Lattice="2.8127 -0.0043 0.0000 0.0044 2.8127 0.0000 0.0000 0.0000 8.2727" Properties=species:S:1:pos:R:3 pbc="T T T"
Cd 1.4085 1.4042 2.0682
Mn 1.4085 1.4042 6.2045
P 0.0000 0.0000 7.5408
P 0.0000 0.0000 4.8683
```

Computed properties:
**Symmetry**: No. 123

=====

Entry 4:
Below is a relaxed structure of Ge5Se4S, with properties calculated at the GGA-PBE level.

Structure (extended XYZ):
```
10
Lattice="-1.7159 1.7487 -3.1283 -6.7754 0.0310 1.2101 -1.7644 8.1602 3.0058" Properties=species:S:1:pos:R:3 pbc="T T T"
Ge -7.6873 6.1342 2.5984
Ge -2.5684 3.8058 -1.5108
Ge -4.2495 8.0952 1.8090
Ge -4.2699 4.0956 2.1079
Ge -6.0063 1.8447 -0.7214
Se -3.4266 5.9409 0.1534
Se -3.4423 1.9702 0.4659
Se -6.8133 7.9698 0.6217
Se -6.8291 3.9990 0.9342
S -6.7753 0.0311 1.2100
```

Computed properties:
**Formation energy (no corrections)**: -0.2079 eV/atom
**Symmetry**: No. 12

=====

Entry 5:
Below is a relaxed structure of Li2Rh3O8, with properties calculated at the GGA-PBE level.

Structure (extended XYZ):
```
26
Lattice="-0.4935 -4.3272 -4.2286 4.6913 -0.7828 4.6108 -5.5418 -4.1839 4.9282" Properties=species:S:1:pos:R:3 pbc="T T T"
Li 0.1320 -3.3288 -0.9661
Li -0.2412 -7.0103 2.8447
Li -1.1028 -2.2837 2.4657
Li -1.4760 -5.9652 6.2765
Rh 1.6667 -4.2330 1.9586
Rh -3.0177 -4.2556 0.3498
Rh -3.2575 -7.2246 1.2375
Rh 1.9135 -2.0694 4.0729
Rh 0.0000 0.0000 0.0000
Rh -3.0108 -5.0610 3.3518
O 3.1676 -3.5372 0.9675
O 0.7162 -5.2936 3.2588
O -4.0436 -3.3152 3.8644
O -2.2536 -6.8022 2.8666
O 2.8018 -3.9243 3.6888
O 0.5562 -4.7360 0.4243
O 0.9512 -3.2332 5.2723
O -4.7701 -8.0236 2.1278
O 3.4261 -1.2704 3.1827
O -2.2952 -6.0608 0.0381
O 2.6995 -5.9788 1.4460
O -4.1458 -5.3697 1.6216
O 0.9096 -2.4918 2.4438
O -1.9002 -4.5580 4.8861
O -2.0602 -4.0004 2.0516
O -4.5116 -5.7568 4.3429
```

Computed properties:
**Offset from the most stable computed form**: 0 meV per atom
**Formation energy (no corrections)**: -0.9408 eV/atom
**Symmetry**: No. 64

=====

Entry 6:
Below is a relaxed structure of Tb2Y3ErBi6, with properties calculated at the GGA-PBE level.

Structure (extended XYZ):
```
12
Lattice="-3.5481 1.6046 6.7151 -4.1649 -0.7628 -6.5060 1.8233 -7.4352 1.2463" Properties=species:S:1:pos:R:3 pbc="T T T"
Tb -3.9591 0.0273 -2.0934
Tb -3.7540 0.8145 2.3025
Y -3.1498 -4.0833 -3.6652
Y -2.7399 -2.5101 5.1206
Y -2.9449 -3.2967 0.7277
Er 0.0000 0.0000 0.0000
Bi -4.3242 -4.5594 3.2844
Bi -5.3456 -1.2262 0.4689
Bi -1.5656 -2.0341 -1.8290
Bi -4.5286 -5.3441 -1.0981
Bi -0.5442 -5.3673 0.9865
Bi -1.3611 -1.2493 2.5535
```

Computed properties:
**Symmetry**: No. 12

=====

Entry 7:
Below is a relaxed structure of MgAlH2, with properties calculated at the GGA-PBE level.

Structure (extended XYZ):
```
8
Lattice="-2.2324 -1.8099 1.4822 0.1617 -2.1572 -2.3904 6.0772 -4.1166 4.1262" Properties=species:S:1:pos:R:3 pbc="T T T"
Mg -0.6175 -3.7534 1.1715
Mg 4.8150 -4.7494 4.6118
Al 2.3317 -5.7487 3.1716
Al 2.1278 -2.9247 2.7833
H -0.3153 -2.2967 -0.1227
H -1.5353 -2.1078 1.7983
H 0.2293 -3.2991 2.9928
H 1.4396 -3.4826 1.0663
```

Computed properties:
**Symmetry**: No. 25

=====

Entry 8:
Below is a relaxed structure of Sm6Dy2Y3Th, with properties calculated at the GGA-PBE level.

Structure (extended XYZ):
```
12
Lattice="6.2292 0.0021 0.0153 -3.1113 5.3966 0.0153 -1.0697 -1.8522 11.7422" Properties=species:S:1:pos:R:3 pbc="T T T"
Sm 3.0811 1.7753 8.8477
Sm 2.0835 3.6076 2.9383
Sm -1.0328 1.7712 2.9250
Sm -0.0021 3.5560 8.8477
Sm -0.0353 -0.0611 8.8344
Sm 2.0503 -0.0094 2.9250
Dy 0.0019 3.5986 0.0153
Dy 3.1160 1.8001 0.0153
Y -2.0863 3.5696 5.8864
Y 4.1345 -0.0231 5.8864
Y 1.0241 1.7733 5.8864
Th 0.0000 0.0000 0.0000
```

Computed properties:
**Symmetry**: No. 12

=====

Entry 9:
Below is a relaxed structure of Pu2Ge5Au12, with properties calculated at the GGA-PBE level.

Structure (extended XYZ):
```
19
Lattice="-4.3025 -3.1640 -4.9568 3.8143 -6.1943 -0.4172 -4.0603 -3.6725 4.8083" Properties=species:S:1:pos:R:3 pbc="T T T"
Pu -3.0147 -8.6367 -0.3750
Pu -1.5338 -4.3941 -0.1908
Ge -2.0301 -1.8363 2.4041
Ge 1.9072 -3.0971 -0.2086
Ge -2.1513 -1.5820 -2.4784
Ge -4.1030 -11.7545 -0.5104
Ge -0.4455 -1.2763 -0.0554
Au 1.2809 -5.2485 -1.8341
Au -4.2269 -3.3227 -1.9090
Au -1.6025 -4.4596 3.1773
Au -1.7691 -4.1098 -3.5399
Au -4.1359 -3.5138 1.7604
Au 1.3565 -5.4072 1.2137
Au -3.5899 -6.3288 2.1942
Au 0.3238 -7.5821 -0.4029
Au -3.7104 -6.0760 -2.6591
Au -4.8722 -5.4487 -0.1629
Au -0.9585 -6.7020 -2.7600
Au -0.8381 -6.9548 2.0933
```

Computed properties:
**Symmetry**: No. 166

=====

Entry 10:
Below is a relaxed structure of PrSm5Te4, with properties calculated at the GGA-PBE level.

Structure (extended XYZ):
```
10
Lattice="-1.1890 2.9738 2.9157 -6.7774 -4.9087 2.2426 7.3396 -4.4444 4.3091" Properties=species:S:1:pos:R:3 pbc="T T T"
Pr -0.5945 1.4869 1.4579
Sm 0.1286 -2.8363 2.9452
Sm -3.2901 -4.9112 3.6673
Sm 2.6633 -1.4680 5.8001
Sm -3.9832 -0.9675 2.5791
Sm -0.7554 -3.5430 6.5222
Te 1.1883 0.1025 3.5968
Te -1.6011 -1.3625 0.7367
Te -1.8151 -6.4818 5.8706
Te 0.9743 -5.0168 8.7307
```

Computed properties:
**Formation energy (no corrections)**: -0.9776 eV/atom
**Symmetry**: No. 12

=====

Entry 11:
Below is a relaxed structure of LiSc3Pa2N6, with properties calculated at the GGA-PBE level.

Structure (extended XYZ):
```
12
Lattice="-1.3900 -0.9705 2.8786 6.0282 -2.0672 2.2138 0.1941 7.2565 0.6018" Properties=species:S:1:pos:R:3 pbc="T T T"
Li -0.6950 -0.4853 1.4393
Sc 2.3191 -1.5188 2.5462
Sc -0.0226 3.7809 3.2023
Sc 4.8549 0.4379 2.4919
Pa 3.0872 2.7100 4.3429
Pa 1.7452 1.5088 1.3514
N 5.2291 2.5822 3.3956
N 2.7137 0.5149 3.4224
N -0.3968 1.6366 2.2987
N 1.6372 -0.5229 0.6143
N 3.1951 4.7417 5.0800
N 2.1186 3.7040 2.2718
```

Computed properties:
**Formation energy (no corrections)**: -1.5953 eV/atom
**Symmetry**: No. 12

=====

Entry 12:
Below is a relaxed structure of Si2N, with properties calculated at the GGA-PBE level.

Structure (extended XYZ):
```
6
Lattice="-3.9605 0.4382 -0.3864 1.1248 -0.7648 4.2926 0.9505 5.5660 -0.5529" Properties=species:S:1:pos:R:3 pbc="T T T"
Si -0.3386 2.1461 0.6975
Si 0.6303 3.2552 3.5419
Si -2.3101 1.2282 1.7369
Si -2.3555 5.5272 -0.5849
N -2.2858 0.7869 3.4236
N 0.7525 2.3258 2.0547
```

Computed properties:
**Offset from the most stable computed form**: 129 meV per atom
**Formation energy (no corrections)**: -0.2604 eV/atom
**Symmetry**: No. 1

=====

Entry 13:
Below is a relaxed structure of AgPd7Au4, with properties calculated at the GGA-PBE level.

Structure (extended XYZ):
```
12
Lattice="5.2082 -1.3431 1.8676 0.4644 4.5118 1.9952 1.3960 -1.1490 8.3686" Properties=species:S:1:pos:R:3 pbc="T T T"
Ag 0.0000 0.0000 0.0000
Pd 5.5401 0.0966 10.7548
Pd 1.5285 1.9232 1.4767
Pd 6.2880 -0.6084 8.1222
Pd 0.7806 2.6281 4.1093
Pd 2.6123 2.6483 7.7163
Pd 2.6041 -0.6716 0.9338
Pd 4.4564 -0.6286 4.5152
Au 3.3863 1.9566 5.0486
Au 3.6823 0.0632 7.1829
Au 5.2265 1.9725 8.6603
Au 1.8422 0.0473 3.5712
```

Computed properties:
**Offset from the most stable computed form**: 0 meV per atom
**Symmetry**: No. 2

=====

Entry 14:
Below is a relaxed structure of ZrSnHRh2, with properties calculated at the GGA-PBE level.

Structure (extended XYZ):
```
5
Lattice="-2.6102 3.2225 0.4705 -1.3154 -1.5948 3.6257 2.9655 2.1095 2.0037" Properties=species:S:1:pos:R:3 pbc="T T T"
H 0.0000 0.0000 0.0000
Rh -0.6577 -0.7974 1.8129
Rh -1.3051 1.6113 0.2352
Sn -0.4801 1.8686 3.0500
Zr 1.4828 1.0548 1.0019
```

Computed properties:
**Symmetry**: No. 123

=====

Entry 15:
Below is a relaxed structure of TmPaMn, with properties calculated at the GGA-PBE level.

Structure (extended XYZ):
```
6
Lattice="3.5147 0.0000 -0.9214 -0.4810 5.6851 -1.8350 -0.0815 -0.0665 6.8536" Properties=species:S:1:pos:R:3 pbc="T T T"
Tm 0.3420 1.6783 1.3046
Tm 2.6102 3.9403 2.7926
Pa 1.7183 4.2766 -0.6098
Pa 1.2340 1.3420 4.7070
Mn 2.6471 0.8413 2.9331
Mn 0.3052 4.7772 1.1641
```

Computed properties:
**Offset from the most stable computed form**: 0 meV per atom
**Symmetry**: No. 12

=====

Entry 16:
Below is a relaxed structure of TbPmAl4, with properties calculated at the GGA-PBE level.

Structure (extended XYZ):
```
6
Lattice="5.6197 0.0000 0.0000 2.8099 4.8668 0.0000 2.8099 1.6223 4.5885" Properties=species:S:1:pos:R:3 pbc="T T T"
Tb 2.8099 1.6223 1.1471
Al 5.6197 3.2446 0.5746
Al 5.6197 1.6232 2.8675
Al 7.0238 4.0552 2.8675
Al 4.2157 4.0552 2.8675
Pm 0.0000 0.0000 0.0000
```

Computed properties:
**Symmetry**: No. 216

=====

Entry 17:
Below is a relaxed structure of TaSbRh3, with properties calculated at the GGA-PBE level.

Structure (extended XYZ):
```
5
Lattice="-2.7254 -1.2820 -3.6772 2.0391 -4.2936 -0.0145 -3.3177 -1.5858 3.0119" Properties=species:S:1:pos:R:3 pbc="T T T"
Sb -2.0020 -3.5807 -0.3399
Rh 1.0196 -2.1468 -0.0072
Rh -1.6589 -0.7929 1.5059
Rh -1.3627 -0.6410 -1.8386
Ta 0.0000 0.0000 0.0000
```

Computed properties:
**Offset from the most stable computed form**: 0 meV per atom
**Formation energy (no corrections)**: 0.7051 eV/atom
**Symmetry**: No. 221

=====

Entry 18:
Below is a relaxed structure of Sm3HoTm4, with properties calculated at the GGA-PBE level.

Structure (extended XYZ):
```
16
Lattice="-4.2792 -3.8144 -2.5013 2.9550 -5.6146 3.5066 -6.8154 1.8926 8.7737" Properties=species:S:1:pos:R:3 pbc="T T T"
Sm -0.9153 -5.9915 0.5814
Sm -4.0519 -6.7928 1.9364
Sm -2.6638 -3.4582 2.2962
Sm -2.9366 -1.7068 5.3251
Sm -6.0712 -2.5120 6.6825
Sm -7.4599 -5.8464 6.3238
Ho 0.4687 -2.6412 0.9338
Ho -4.3153 -5.0524 4.9758
Tm 1.9608 -5.4945 2.7083
Tm -2.4144 -3.1549 -1.1949
Tm -5.5326 -3.9544 0.1560
Tm -1.1750 -6.2894 4.0814
Tm -1.4459 -4.5509 7.0966
Tm -5.8205 -2.2108 3.1936
Tm -4.5654 -5.3479 8.4460
Tm -8.9576 -3.0033 4.5651
```

Computed properties:
**Offset from the most stable computed form**: 0 meV per atom
**Symmetry**: No. 31

=====

Entry 19:
Below is a relaxed structure of ZrGaPt, with properties calculated at the GGA-PBE level.

Structure (extended XYZ):
```
3
Lattice="4.4197 0.0000 0.0000 2.2099 3.8276 0.0000 2.2099 1.2759 3.6087" Properties=species:S:1:pos:R:3 pbc="T T T"
Ga 0.0000 0.0000 0.0000
Zr 4.4197 2.5517 1.8043
Pt 2.2099 1.2759 0.9022
```

Computed properties:
**Symmetry**: No. 216

=====

Entry 20:
Below is a relaxed structure of La4CoN2, with properties calculated at the GGA-PBE level.

Structure (extended XYZ):
```
7
Lattice="5.1418 0.0000 0.0000 0.0000 5.1418 0.0000 2.5709 2.5709 6.5161" Properties=species:S:1:pos:R:3 pbc="T T T"
N 5.1418 5.1418 5.1905
N 2.5709 2.5709 1.3256
Co 0.0000 0.0000 0.0000
La 5.1418 5.1418 3.1546
La 2.5709 2.5709 3.3615
La 0.0000 2.5709 0.0000
La 2.5709 0.0000 0.0000
```

Computed properties:
**Formation energy (no corrections)**: -0.3110 eV/atom
**Symmetry**: No. 139

=====

Entry 21:
Below is a relaxed structure of PmDy4ScS8, with properties calculated at the GGA-PBE level.

Structure (extended XYZ):
```
14
Lattice="8.0760 0.0000 0.0000 4.0380 6.9940 0.0000 4.0380 2.3313 6.4317" Properties=species:S:1:pos:R:3 pbc="T T T"
Pm 8.0760 4.6627 5.5354
Dy 8.0760 4.6627 0.8707
Dy 12.1140 4.6664 3.2162
Dy 10.0982 8.1578 3.2162
Dy 14.1297 8.1578 3.2162
Sc 12.1140 6.9940 0.0120
S 8.0760 7.2470 4.8323
S 10.3141 3.3705 4.8323
S 5.8379 3.3705 4.8323
S 4.0380 2.3313 1.7664
S 8.0760 2.1416 1.5902
S 5.8927 5.9232 1.5902
S 10.2593 5.9232 1.5902
S 12.1140 6.9940 4.7053
```

Computed properties:
**Formation energy (no corrections)**: -1.9047 eV/atom
**Symmetry**: No. 160

=====

Entry 22:
Below is a relaxed structure of Li2In3Ag5, with properties calculated at the GGA-PBE level.

Structure (extended XYZ):
```
20
Lattice="-5.4227 -0.6409 1.0286 -1.3656 -8.8658 2.2844 -1.6518 3.4308 8.4373" Properties=species:S:1:pos:R:3 pbc="T T T"
Li -3.4401 -2.7847 10.1446
Li -5.0000 -3.2912 1.6056
Li -6.0632 -6.8967 8.7617
Li -2.3769 0.8207 2.9885
In -1.3557 -0.1602 0.2571
In -4.0670 -0.4807 0.7714
In -4.0582 -0.5587 8.2733
In -4.3819 -5.5172 3.4769
In -6.6327 -6.7557 5.8472
In -1.8074 0.6797 5.9030
Ag -2.8644 -2.8777 5.6180
Ag -5.5757 -3.1982 6.1323
Ag -4.9776 -4.3904 8.5428
Ag -6.1739 -2.0059 3.7217
Ag -3.4626 -1.6855 3.2074
Ag -2.2662 -4.0700 8.0285
Ag -1.8243 -3.9445 2.9327
Ag -6.6158 -2.1314 8.8176
Ag -4.6262 -0.3724 5.3947
Ag -3.8139 -5.7035 6.3555
```

Computed properties:
**Offset from the most stable computed form**: 129 meV per atom
**Symmetry**: No. 72

=====

no.,mass density (Mg/m³),spin magnetization (μB per cell),energy (eV per atom)
1,7.3,10.9,-7.07
2,4.9,0.0,-3.53
3,5.8,0.0,-5.25
4,5.3,0.0,-4.32
5,4.9,0.0,-5.98
6,8.7,0.0,-5.59
7,2.0,0.0,-2.98
8,7.3,0.0,-5.33
9,14.0,11.5,-4.87
10,6.8,0.0,-5.07
11,7.4,0.0,-9.08
12,2.5,0.0,-6.65
13,13.8,0.0,-4.41
14,9.6,0.0,-6.58
15,11.1,0.0,-7.75
16,5.4,0.0,-4.57
17,9.5,0.0,-6.90
18,8.4,0.0,-4.56
19,9.7,0.6,-6.70
20,6.2,0.0,-6.52
21,5.0,0.0,-6.37
22,7.0,0.0,-2.61